SmSc2H7 | PBE | relaxed

Structure (POSCAR):
```
SmSc2H7
1.0
0.4856 3.4302 -0.0199
-1.4564 0.1880 -3.1378
-6.3078 -0.8288 4.7907
H Sm Sc
7 1 2
Direct
0.9000 0.4000 0.8001
0.5000 0.5000 0.0000
0.1000 0.6000 0.1999
0.6000 0.1000 0.1999
0.4000 0.9000 0.8001
0.2500 0.7500 0.5000
0.7500 0.2500 0.5000
0.0000 0.0000 0.0000
0.6730 0.6730 0.3460
0.3270 0.3270 0.6540
```

- V (Å³ per cell) = 91.0
- DOS(E_F) (states/eV/f.u.) = 2.92
- size of the total moment (μB/f.u.) = 0.00
- total energy (eV/atom) = -4.705

SmHoInHg | PBE | relaxed

Structure (POSCAR):
```
SmHoInHg
1.0
-2.5221 -4.5660 1.1710
2.0598 -4.6731 -1.5813
2.0843 -3.3576 3.6004
In Hg Ho Sm
1 1 1 1
Direct
0.2500 0.2500 0.2500
0.7500 0.7500 0.7500
0.5000 0.5000 0.5000
0.0000 0.0000 0.0000
```

- V (Å³ per cell) = 108.0
- E_form (eV/atom) = -0.462
- DOS(E_F) (states/eV/f.u.) = 4.61
- size of the total moment (μB/f.u.) = 0.35
- total energy (eV/atom) = -3.546

CoRu2Cl | PBE | relaxed

Structure (POSCAR):
```
CoRu2Cl
1.0
-4.1226 -1.0416 -0.0090
-3.0944 -1.3972 2.5599
-5.2547 4.7262 2.7573
Co Ru Cl
1 2 1
Direct
0.2500 0.2500 0.2500
0.4478 0.4478 0.4137
0.0522 0.0522 0.0863
0.7500 0.7500 0.7500
```

- energy relative to the elements, uncorrected (meV per atom) = 568
- V (Å³ per cell) = 71.1
- DOS(E_F) (states/eV/f.u.) = 5.95
- size of the total moment (μB/f.u.) = 1.77
- total energy (eV/atom) = -6.308
- distance to the lowest polymorph of the same formula (eV/atom) = 0.213

RbAcHgS3 | PBE | relaxed

Structure (POSCAR):
```
RbAcHgS3
1.0
4.4154 0.0000 0.0000
0.0000 9.2600 0.0326
0.0000 -2.4156 9.8923
S Hg Rb Ac
6 2 2 2
Direct
0.7500 0.4481 0.1445
0.7500 0.8836 0.1350
0.2500 0.1164 0.8650
0.7500 0.1995 0.5292
0.2500 0.8005 0.4708
0.2500 0.5519 0.8555
0.2500 0.0887 0.6137
0.7500 0.9113 0.3863
0.7500 0.8077 0.7797
0.2500 0.1923 0.2203
0.7500 0.3366 0.8490
0.2500 0.6634 0.1510
```

- energy relative to the elements, uncorrected (meV per atom) = -1259
- V (Å³ per cell) = 404.8
- DOS(E_F) (states/eV/f.u.) = 0.00
- size of the total moment (μB/f.u.) = 0.00
- total energy (eV/atom) = -4.219

Al2Cr2As | PBE | relaxed

Structure (POSCAR):
```
Al2Cr2As
1.0
6.1409 0.0000 0.0000
0.0000 6.1409 0.0000
0.0000 0.0000 3.9186
Al As Cr
4 2 4
Direct
0.8466 0.3466 0.5000
0.3466 0.1534 0.5000
0.6534 0.8466 0.5000
0.1534 0.6534 0.5000
0.5000 0.5000 0.0000
0.0000 0.0000 0.0000
0.3540 0.8540 0.0000
0.1460 0.3540 0.0000
0.8540 0.6460 0.0000
0.6460 0.1460 0.0000
```

- V (Å³ per cell) = 147.8
- E_form (eV/atom) = -0.022
- DOS(E_F) (states/eV/f.u.) = 3.40
- size of the total moment (μB/f.u.) = 2.52
- total energy (eV/atom) = -6.298

Pr6BiTe2As3 | PBE | relaxed

Structure (POSCAR):
```
Pr6BiTe2As3
1.0
-1.3039 2.7675 3.1692
-8.5314 -2.2359 -1.5576
3.6572 -7.7090 5.1754
Pr Bi Te As
6 1 2 3
Direct
0.6601 0.5991 0.3202
0.3282 0.9314 0.6563
0.9948 0.2621 0.9897
0.0052 0.7379 0.0103
0.6718 0.0686 0.3437
0.3399 0.4009 0.6798
0.5000 0.0000 0.0000
0.8323 0.6644 0.6646
0.1677 0.3356 0.3354
0.8330 0.1669 0.6661
0.1670 0.8331 0.3339
0.5000 0.5000 0.0000
```

- energy relative to the elements, uncorrected (meV per atom) = -1438
- V (Å³ per cell) = 371.5
- DOS(E_F) (states/eV/f.u.) = 4.60
- size of the total moment (μB/f.u.) = 0.00
- total energy (eV/atom) = -5.837